DFT (PBE) results for a geometry-optimized LaTh4Sc5 structure.

Output
The density of states at the Fermi level comes out at 13.58 states/eV per cell. For the energy of formation from the pure elements, the calculation gives 0.03 eV per atom.

Lattice parameters (Å, degrees): 3.4839 3.4839 23.7685 90.00 90.00 90.00
With the nearest neighbours (Å) after each atom.
Fractional positions:
Th (0.0000, 0.0000, 0.4010)  8 Sc 3.41, 4 Th 3.48
Sc (0.5000, 0.5000, 0.1062)  4 Th 3.37, 4 Sc 3.48, 4 La 3.53
Sc (0.5000, 0.5000, 0.3019)  8 Th 3.40-3.41, 4 Sc 3.48
La (0.0000, 0.0000, 0.0000)  4 La 3.48, 8 Sc 3.53
Th (0.0000, 0.0000, 0.2032)  8 Sc 3.37-3.40, 4 Th 3.48
Sc (0.5000, 0.5000, 0.8938)  4 Th 3.37, 4 Sc 3.48, 4 La 3.53
Th (0.0000, 0.0000, 0.5990)  8 Sc 3.41, 4 Th 3.48
Th (0.0000, 0.0000, 0.7968)  8 Sc 3.37-3.40, 4 Th 3.48
Sc (0.5000, 0.5000, 0.6981)  8 Th 3.40-3.41, 4 Sc 3.48
Sc (0.5000, 0.5000, 0.5000)  8 Th 3.41, 4 Sc 3.48

=====

DFT (PBE) results for a geometry-optimized Ac2GeI structure.

Output
The formation energy from raw total energies comes out at -777 meV/atom. The density of states at the Fermi level comes out at 3.26 states/eV per cell.

Lattice parameters (Å, degrees): 5.6814 5.6814 5.6814 60.00 60.00 60.00
With the nearest neighbours (Å) after each atom.
Fractional positions:
Ac (0.2500, 0.2500, 0.2500)  4 I 3.48, 4 Ge 3.48
I (0.0000, 0.0000, 0.0000)  8 Ac 3.48
Ac (0.7500, 0.7500, 0.7500)  4 Ge 3.48, 4 I 3.48
Ge (0.5000, 0.5000, 0.5000)  8 Ac 3.48

=====

DFT (PBE) results for a geometry-optimized LaHfSbI2 structure.

Output
The formation energy from raw total energies comes out at -254 meV/atom. The density of states at the Fermi level comes out at 7.01 states/eV per cell.

Lattice parameters (Å, degrees): 5.5273 5.5273 5.6715 90.00 90.00 90.00
With the nearest neighbours (Å) after each atom.
Fractional positions:
I (0.5000, 0.0000, 0.0000)  2 Hf 2.76
I (0.0000, 0.5000, 0.0000)  2 Hf 2.76
La (0.5000, 0.5000, 0.5000)  4 Sb 3.91, 8 I 3.96
Hf (0.0000, 0.0000, 0.0000)  4 I 2.76, 2 Sb 2.84
Sb (0.0000, 0.0000, 0.5000)  2 Hf 2.84